(1)
Here is SiAg7Te6 after structural relaxation from Alexandria via LeMat-Bulk. Energies are from GGA-PBE.

DOS at the Fermi energy   6.4 states/eV/f.u.
Formation energy from raw total energies   0.019 eV per atom
Uncorrected energy   -3.14 eV per atom

abc: 6.734 11.603 11.603
angles: 83.81 73.13 73.13
Element x y z (fractional)
Ag  0.250  0.250  0.250
Ag  0.280  0.967  0.033
Te  0.653  0.853  0.147
Ag  0.361  0.823  0.371
Ag  0.639  0.177  0.629
Ag  0.945  0.323  0.871
Si  0.250  0.750  0.750
Te  0.559  0.761  0.560
Te  0.620  0.261  0.060
Ag  0.139  0.129  0.677
Ag  0.445  0.371  0.823
Te  0.059  0.060  0.261
Ag  0.780  0.533  0.467
Si  0.750  0.250  0.250
Te  0.153  0.647  0.353
Te  0.880  0.440  0.239
Te  0.120  0.560  0.761
Te  0.941  0.940  0.739
Ag  0.055  0.677  0.129
Ag  0.750  0.750  0.750
Ag  0.720  0.033  0.967
Te  0.347  0.147  0.853
Te  0.380  0.739  0.940
Te  0.441  0.239  0.440
Ag  0.861  0.871  0.323
Ag  0.555  0.629  0.177
Te  0.847  0.353  0.647
Ag  0.220  0.467  0.533

***

(2)
Here is SiAg2Te after structural relaxation from Alexandria via LeMat-Bulk. Energies are from GGA-PBE.

DOS at the Fermi energy   1.4 states/eV/f.u.
Energy above the lowest structure with this stoichiometry   0.247 eV per atom
Formation energy from raw total energies   0.447 eV per atom
Uncorrected energy   -3.12 eV per atom

abc: 4.921 4.921 4.921
angles: 60.00 60.00 60.00
Element x y z (fractional)
Si  0.500  0.500  0.500
Ag  0.750  0.750  0.750
Te  0.250  0.250  0.250
Ag  0.000  0.000  0.000